Below is a relaxed structure of K2Mn2PbO6, with properties calculated at the PBE with a Hubbard U level.

Cell and atoms, written as POSCAR:
```
K2Mn2PbO6
1.0
-4.482 1.006 -3.283
4.043 -3.709 -1.335
-3.041 -3.665 4.440
K Mn Pb O
2 2 1 6
direct
0.835 0.165 0.000
0.165 0.835 0.000
0.334 0.666 0.500
0.666 0.334 0.500
0.000 0.000 0.500
0.719 0.719 0.681
0.075 0.421 0.669
0.281 0.281 0.319
0.421 0.075 0.669
0.925 0.579 0.331
0.579 0.925 0.331
```

Results
- raw total energy (eV/atom) = -5.99
- SG = C2/m